# Pm2Si5Rh, relaxed, DFT PBE
data_Pm2Si5Rh
_cell_length_a 5.8891
_cell_length_b 5.8891
_cell_length_c 8.8570
_cell_angle_alpha 90.00
_cell_angle_beta 90.00
_cell_angle_gamma 90.00
_space_group_name_H-M_alt 'P 1'
_space_group_IT_number 1
loop_
_space_group_symop_operation_xyz
'x,y,z'
loop_
_atom_site_label
_atom_site_type_symbol
_atom_site_fract_x
_atom_site_fract_y
_atom_site_fract_z
Pm1 Pm 0.0000 0.5000 0.0000
Pm2 Pm 0.0000 0.5000 0.5000
Pm3 Pm 0.5000 0.0000 0.0000
Pm4 Pm 0.5000 0.0000 0.5000
Si1 Si 0.0000 0.0000 0.4428
Si2 Si 0.2083 0.2083 0.2418
Si3 Si 0.2083 0.7917 0.2418
Si4 Si 0.2917 0.2917 0.7418
Si5 Si 0.2917 0.7083 0.7418
Si6 Si 0.5000 0.5000 0.9428
Si7 Si 0.7083 0.2917 0.7418
Si8 Si 0.7083 0.7083 0.7418
Si9 Si 0.7917 0.2083 0.2418
Si10 Si 0.7917 0.7917 0.2418
Rh1 Rh 0.0000 0.0000 0.7102
Rh2 Rh 0.5000 0.5000 0.2102
# DOS(E_F) ... 7.16 states/eV/cell
# Formation energy (no corrections) ... -0.58 eV/atom
# Total magnetization ... 0.000 μB per formula unit
# Theoretical density ... 5.8 g cm⁻³
# Volume ... 153.6 Å³/f.u.